A geometry-optimized Dy2Y3Tm5 structure, computed with PBE.

```
20
Lattice="-6.349 8.398 3.114 6.349 -8.398 3.114 6.349 8.398 -3.114" Properties=species:S:1:pos:R:3 pbc="T T T"
Dy 1.327 2.632 0.000
Dy 7.677 5.766 0.000
Dy -1.327 2.632 3.114
Dy 5.022 5.766 3.114
Y 4.363 -4.251 3.114
Y 0.000 0.000 1.557
Y 4.363 4.251 0.000
Y 1.987 4.148 3.114
Y 0.000 0.000 4.671
Y 1.987 12.649 0.000
Tm 7.606 2.618 0.000
Tm 3.205 0.000 1.557
Tm 6.349 0.000 1.557
Tm 9.494 0.000 1.557
Tm 1.257 5.780 0.000
Tm 5.093 2.618 3.114
Tm -3.144 8.398 1.557
Tm 0.000 8.398 1.557
Tm 3.144 8.398 1.557
Tm -1.257 5.780 3.114
```

The value obtained for the energy relative to the lowest polymorph listed for this composition is 149 meV per atom. Its volume is 33.21 Å³/atom. The density is 7183 kg/m3. Its density of states at the Fermi level is 15.4 states/eV/f.u. The formation energy comes out at 3.52 eV per formula unit.